Below is crystalline NaFe2P2HO8 at its relaxed geometry, with properties calculated at the GGA+U level.

Unit cell a=5.263 b=8.685 c=9.059 alpha=95.66 beta=99.68 gamma=105.66
Space group P-1 (No. 2)
Inequivalent atoms, fractional coordinates:
Na 0.090 0.316 0.325
Fe 0.185 0.884 0.095
Fe 0.278 0.390 0.734
P 0.346 0.751 0.422
P 0.376 0.255 0.064
H 0.427 0.941 0.621
O 0.094 0.605 0.362
O 0.184 0.119 0.128
O 0.205 0.261 0.905
O 0.301 0.828 0.580
O 0.357 0.778 0.952
O 0.375 0.882 0.316
O 0.398 0.304 0.549
O 0.423 0.414 0.171

Magnetization in μB/atom: 0.571
E in hartree per atom: -0.2464